## w
Computed, not measured: YScMo2 after structural relaxation at the GGA-PBEsol level of DFT.

Lattice parameters (Å, degrees): 3.988 3.988 5.525 111.15 111.15 90.00
Fractional positions:
Mo1 0.750 0.250 0.500
Mo2 0.250 0.750 0.500
Sc1 0.500 0.500 0.000
Y1 0.000 0.000 0.000



## x
Computed, not measured: YScMo2 after structural relaxation at the GGA-PBEsol level of DFT.

Lattice parameters (Å, degrees): 4.744 4.744 4.744 60.00 60.00 60.00
Fractional positions:
Mo1 0.750 0.750 0.750
Mo2 0.250 0.250 0.250
Sc1 0.000 0.000 0.000
Y1 0.500 0.500 0.500



Which structure is most stable, and how do the rest compare? From most to least stable: w, x.



## w
Computed, not measured: BeAuCl2 after structural relaxation at the GGA-PBEsol level of DFT.

Lattice parameters (Å, degrees): 2.865 2.865 9.279 90.00 90.00 90.00
Fractional positions:
Cl1 0.000 0.000 0.348
Cl2 0.000 0.000 0.652
Be1 0.500 0.500 0.500
Au1 0.500 0.500 0.000



## x
Computed, not measured: BeAuCl2 after structural relaxation at the GGA-PBEsol level of DFT.

Lattice parameters (Å, degrees): 4.573 4.573 4.573 60.00 60.00 60.00
Fractional positions:
Cl1 0.750 0.750 0.750
Cl2 0.250 0.250 0.250
Au1 0.500 0.500 0.500
Be1 0.000 0.000 0.000



Which structure is most stable, and how do the rest compare? From most to least stable: w, x.